NaMnGaNi2 | PBE-GGA | optimized geometry

Cell: 4.341 4.341 4.445 Å, 90.00 90.00 90.00°
Fractional positions:
1 Na 0.000 0.000 0.000
2 Mn 0.000 0.000 0.500
3 Ga 0.500 0.500 0.500
4 Ni 0.000 0.500 0.000
5 Ni 0.500 0.000 0.000

Output
- energy relative to the elements (meV per atom) = 1444
- space group = P4/mmm (123)